Arrangement A

Material: RbNbMo2
Method: DFT, GGA-PBE
State: relaxed

Calculated density = 7.86 g/cm³
Magnetic moment = 0.00 μB/f.u.

Unit cell a=4.801 b=4.801 c=4.801 alpha=60.00 beta=60.00 gamma=60.00
Element x y z (fractional)
Rb: 0.000 0.000 0.000
Nb: 0.500 0.500 0.500
Mo: 0.250 0.250 0.250
Mo: 0.750 0.750 0.750


Arrangement B

Material: RbNbMo2
Method: DFT, GGA-PBE
State: relaxed

Calculated density = 5.50 g/cm³
Magnetic moment = 0.00 μB/f.u.

Unit cell a=9.659 b=9.659 c=9.659 alpha=150.08 beta=150.08 gamma=42.82
Element x y z (fractional)
Rb: 0.000 0.000 0.000
Rb: 0.750 0.250 0.500
Nb: 0.250 0.750 0.500
Nb: 0.500 0.500 0.000
Mo: 0.313 0.625 0.188
Mo: 0.375 0.563 0.688
Mo: 0.437 0.125 0.812
Mo: 0.875 0.687 0.312


Tell me which of them is the least stable. Sure, it is arrangement B.


Arrangement A

Material: Rb2NbMo2
Method: DFT, GGA-PBE
State: relaxed

Calculated density = 5.84 g/cm³
Magnetic moment = 2.93 μB/f.u.

Unit cell a=9.739 b=9.739 c=2.731 alpha=90.00 beta=90.00 gamma=90.00
Element x y z (fractional)
Rb: 0.114 0.386 0.000
Rb: 0.386 0.886 0.000
Rb: 0.614 0.114 0.000
Rb: 0.886 0.614 0.000
Nb: 0.000 0.000 0.000
Nb: 0.500 0.500 0.000
Mo: 0.192 0.692 0.500
Mo: 0.308 0.192 0.500
Mo: 0.692 0.808 0.500
Mo: 0.808 0.308 0.500


Arrangement B

Material: Rb2NbMo2
Method: DFT, GGA-PBE
State: relaxed

Calculated density = 4.79 g/cm³
Magnetic moment = 2.40 μB/f.u.

Unit cell a=13.370 b=13.370 c=13.370 alpha=165.10 beta=165.10 gamma=21.13
Element x y z (fractional)
Rb: 0.119 0.119 0.000
Rb: 0.881 0.881 0.000
Nb: 0.500 0.500 0.000
Mo: 0.250 0.750 0.500
Mo: 0.750 0.250 0.500


Tell me which of them is the least stable. Sure, it is arrangement A.


Arrangement A

Material: Nb6ReMo
Method: DFT, GGA-PBE
State: relaxed

Calculated density = 10.03 g/cm³
Magnetic moment = 0.00 μB/f.u.

Unit cell a=7.347 b=7.347 c=7.347 alpha=143.58 beta=143.58 gamma=52.46
Element x y z (fractional)
Nb: 0.121 0.621 0.500
Nb: 0.250 0.250 0.000
Nb: 0.379 0.879 0.500
Nb: 0.621 0.121 0.500
Nb: 0.750 0.750 0.000
Nb: 0.879 0.379 0.500
Re: 0.000 0.000 0.000
Mo: 0.500 0.500 0.000


Arrangement B

Material: Nb6ReMo
Method: DFT, GGA-PBE
State: relaxed

Calculated density = 9.73 g/cm³
Magnetic moment = 0.00 μB/f.u.

Unit cell a=5.791 b=5.791 c=5.791 alpha=110.55 beta=110.55 gamma=110.55
Element x y z (fractional)
Nb: 0.250 0.250 0.748
Nb: 0.250 0.748 0.250
Nb: 0.252 0.750 0.750
Nb: 0.748 0.250 0.250
Nb: 0.750 0.252 0.750
Nb: 0.750 0.750 0.252
Re: 0.500 0.500 0.500
Mo: 0.000 0.000 0.000


Tell me which of them is the least stable. Sure, it is arrangement B.